No. 1
Density functional theory data (PBE-GGA) for a relaxed CuNi3Pd4 crystal.

CIF file:
```
data_CuNi3Pd4
_space_group_name_H-M_alt 'P 1'
_space_group_IT_number 1
_space_group_name_Hall 'P 1'
_cell_length_a 4.520
_cell_length_b 4.520
_cell_length_c 7.730
_cell_angle_alpha 115.33
_cell_angle_beta 115.33
_cell_angle_gamma 50.55
loop_
_atom_site_label
_atom_site_type_symbol
_atom_site_fract_x
_atom_site_fract_y
_atom_site_fract_z
Cu1 Cu 0.000 0.000 0.000
Ni1 Ni 0.000 0.000 0.500
Ni2 Ni 0.499 0.499 0.255
Ni3 Ni 0.501 0.501 0.745
Pd1 Pd 0.249 0.249 0.375
Pd2 Pd 0.251 0.251 0.875
Pd3 Pd 0.749 0.749 0.125
Pd4 Pd 0.751 0.751 0.625
```

Its space-group type is No. 12. Its size of the total moment is 3.4 μB/f.u. For the final energy, the calculation gives -0.1935 Ha/atom. The energy of formation from the pure elements comes out at 0.0116 eV/atom.

---

No. 2
Density functional theory data (PBE-GGA) for a relaxed CuNi4Pd15 crystal.

CIF file:
```
data_CuNi4Pd15
_space_group_name_H-M_alt 'P 1'
_space_group_IT_number 1
_space_group_name_Hall 'P 1'
_cell_length_a 3.871
_cell_length_b 3.871
_cell_length_c 19.344
_cell_angle_alpha 90.00
_cell_angle_beta 90.00
_cell_angle_gamma 90.00
loop_
_atom_site_label
_atom_site_type_symbol
_atom_site_fract_x
_atom_site_fract_y
_atom_site_fract_z
Cu1 Cu 0.000 0.000 0.000
Ni1 Ni 0.000 0.000 0.201
Ni2 Ni 0.000 0.000 0.400
Ni3 Ni 0.000 0.000 0.600
Ni4 Ni 0.000 0.000 0.799
Pd1 Pd 0.000 0.500 0.101
Pd2 Pd 0.000 0.500 0.300
Pd3 Pd 0.000 0.500 0.500
Pd4 Pd 0.000 0.500 0.700
Pd5 Pd 0.000 0.500 0.899
Pd6 Pd 0.500 0.000 0.101
Pd7 Pd 0.500 0.000 0.300
Pd8 Pd 0.500 0.000 0.500
Pd9 Pd 0.500 0.000 0.700
Pd10 Pd 0.500 0.000 0.899
Pd11 Pd 0.500 0.500 0.000
Pd12 Pd 0.500 0.500 0.201
Pd13 Pd 0.500 0.500 0.400
Pd14 Pd 0.500 0.500 0.600
Pd15 Pd 0.500 0.500 0.799
```

Its space-group type is No. 123. Its size of the total moment is 7.3 μB/f.u. For the final energy, the calculation gives -0.1926 Ha/atom. The energy of formation from the pure elements comes out at 0.0155 eV/atom.